A plane-wave DFT calculation with PBE was carried out for a relaxed structure of B7C5.

## Properties
N(E_F): 2.0 states/eV/f.u.
E_form: 4.63 eV per formula unit
crystal system: triclinic
E: -0.5404 Ry per atom
V: 85.2 Å³ per cell
polymorph energy (0 for the lowest one): 221 meV per atom
mass density: 2.6 g/cm3

Lattice parameters (Å, degrees): 3.6812 4.0403 6.0541 71.58 86.04 89.51
Last column: nearest neighbours and their distance in Å.
Space group P1 (No. 1)
Unique sites:
B 0.0000 0.0000 0.0000 x1  2 C 1.61-1.62, 2 B 1.76-1.78
B 0.0213 0.7217 0.5855 x1  1 C 1.58, 2 B 1.67-1.71
B 0.1839 0.9906 0.7257 x1  1 C 1.53
B 0.2448 0.4510 0.4679 x1  2 C 1.62-1.64, 1 B 1.67
B 0.5238 0.8472 0.2861 x1  3 C 1.66-1.75
B 0.6071 0.4112 0.9990 x1  2 C 1.56-1.60
B 0.8162 0.3087 0.7548 x1  1 C 1.61, 3 B 1.78-1.80
C 0.0177 0.3351 0.2803 x1  3 C 1.54-1.56, 1 B 1.64
C 0.2778 0.1739 0.1297 x1  1 C 1.55, 3 B 1.56-1.66
C 0.5377 0.1757 0.6053 x1  1 C 1.49, 3 B 1.53-1.62
C 0.7804 0.0368 0.4484 x1  2 C 1.49-1.54, 1 B 1.58
C 0.7838 0.6417 0.1362 x1  1 C 1.56, 3 B 1.60-1.66

***

A plane-wave DFT calculation with PBE was carried out for a relaxed structure of BC.

## Properties
N(E_F): 0.2 states/eV/f.u.
E_form: 0.68 eV per formula unit
crystal system: tetragonal
E: -0.5595 Ry per atom
V: 132.1 Å³ per cell
polymorph energy (0 for the lowest one): 188 meV per atom
mass density: 2.9 g/cm3

Lattice parameters (Å, degrees): 2.4498 2.4498 22.0179 90.00 90.00 90.00
Last column: nearest neighbours and their distance in Å.
Space group I-4m2 (No. 119)
Unique sites:
B 0.0000 0.0000 0.0000 x2  4 B 1.79
B 0.0000 0.0000 0.3811 x4  2 C 1.64, 2 B 1.79
B 0.0000 0.5000 0.0595 x4  4 B 1.79
C 0.0000 0.0000 0.2082 x4  4 C 1.50-1.53
C 0.0000 0.5000 0.2500 x2  4 C 1.53
C 0.0000 0.5000 0.6685 x4  2 C 1.50, 2 B 1.64

***

A plane-wave DFT calculation with PBE was carried out for a relaxed structure of B3C.

## Properties
N(E_F): 0.2 states/eV/f.u.
E_form: 1.29 eV per formula unit
crystal system: monoclinic
E: -0.5139 Ry per atom
V: 173.2 Å³ per cell
polymorph energy (0 for the lowest one): 82 meV per atom
mass density: 2.6 g/cm3

Lattice parameters (Å, degrees): 8.6122 2.7726 7.5886 90.00 107.05 90.00
Last column: nearest neighbours and their distance in Å.
Space group Cm (No. 8)
Unique sites:
B 0.0000 0.0000 0.0000 x2  6 B 1.80-1.99
B 0.0109 0.5000 0.2046 x2  2 C 1.53-1.54
B 0.0875 0.5000 0.9057 x2  6 B 1.73-1.82
B 0.1137 0.0000 0.4459 x2  3 C 1.56-1.58
B 0.2120 0.0000 0.0138 x2  1 C 1.56
B 0.2772 0.5000 0.8673 x2  4 B 1.71-1.89
B 0.3353 0.5000 0.3310 x2  4 C 1.63-1.75
B 0.3773 0.0000 0.8271 x2  4 B 1.71-1.84
B 0.4744 0.0000 0.6404 x2  2 C 1.56
C 0.1603 0.5000 0.3737 x2  4 B 1.53-1.63
C 0.3342 0.0000 0.2115 x2  4 B 1.54-1.66
C 0.4811 0.5000 0.5478 x2  3 B 1.56

***

A plane-wave DFT calculation with PBE was carried out for a relaxed structure of BC.

## Properties
N(E_F): 0.3 states/eV/f.u.
E_form: 0.70 eV per formula unit
crystal system: monoclinic
E: -0.5587 Ry per atom
V: 129.9 Å³ per cell
polymorph energy (0 for the lowest one): 198 meV per atom
mass density: 2.9 g/cm3

Lattice parameters (Å, degrees): 8.6661 2.4502 6.4202 90.00 107.73 90.00
Last column: nearest neighbours and their distance in Å.
Space group Cm (No. 8)
Unique sites:
B 0.0000 0.0000 0.0000 x2  2 C 1.61, 1 B 1.67
B 0.0323 0.5000 0.3790 x2  4 C 1.57-1.69
B 0.1247 0.0000 0.7970 x2  1 C 1.60
B 0.2724 0.5000 0.9512 x2  1 C 1.65, 2 B 1.83
B 0.3950 0.5000 0.7347 x2  1 B 1.67, 2 C 1.67
C 0.0786 0.5000 0.1610 x2  1 C 1.55, 3 B 1.57-1.61
C 0.1295 0.0000 0.5498 x2  1 C 1.51, 3 B 1.60-1.69
C 0.2648 0.5000 0.2042 x2  3 C 1.53-1.55, 1 B 1.65
C 0.3066 0.0000 0.5626 x2  2 C 1.51-1.52, 2 B 1.67
C 0.3389 0.0000 0.3425 x2  3 C 1.52-1.53, 1 B 1.62